1.
# Hf2PtAuSe, relaxed, DFT PBE
data_Hf2PtAuSe
_space_group_name_H-M_alt 'P 4/m m m'
_space_group_IT_number 123
_space_group_name_Hall '-P 4 2'
_cell_length_a 4.8965
_cell_length_b 4.8965
_cell_length_c 4.6308
_cell_angle_alpha 90.00
_cell_angle_beta 90.00
_cell_angle_gamma 90.00
loop_
_atom_site_label
_atom_site_type_symbol
_atom_site_fract_x
_atom_site_fract_y
_atom_site_fract_z
Hf1 Hf 0.0000 0.5000 0.0000
Pt1 Pt 0.0000 0.0000 0.5000
Au1 Au 0.5000 0.5000 0.5000
Se1 Se 0.0000 0.0000 0.0000
# - Formation energy without anion corrections: 13.9 kJ/mol of atoms

2.
# KSbP2O6, relaxed, DFT PBE
data_KSbP2O6
_space_group_name_H-M_alt 'C 1 2/c 1'
_space_group_IT_number 15
_space_group_name_Hall '-C 2yc'
_cell_length_a 10.2103
_cell_length_b 10.6899
_cell_length_c 6.0230
_cell_angle_alpha 90.00
_cell_angle_beta 110.67
_cell_angle_gamma 90.00
loop_
_atom_site_label
_atom_site_type_symbol
_atom_site_fract_x
_atom_site_fract_y
_atom_site_fract_z
K1 K 0.0000 0.0516 0.2500
Sb1 Sb 0.0000 0.3220 0.7500
P1 P 0.2349 0.3209 0.3549
O1 O 0.1177 0.1802 0.6846
O2 O 0.1201 0.2694 0.1308
O3 O 0.2144 0.4473 0.4473
# - Formation energy without anion corrections: -178.9 kJ/mol of atoms

3.
# AgRhN3, relaxed, DFT PBE
data_AgRhN3
_space_group_name_H-M_alt 'P m -3 m'
_space_group_IT_number 221
_space_group_name_Hall '-P 4 2 3'
_cell_length_a 3.9052
_cell_length_b 3.9052
_cell_length_c 3.9052
_cell_angle_alpha 90.00
_cell_angle_beta 90.00
_cell_angle_gamma 90.00
loop_
_atom_site_label
_atom_site_type_symbol
_atom_site_fract_x
_atom_site_fract_y
_atom_site_fract_z
Ag1 Ag 0.0000 0.0000 0.0000
Rh1 Rh 0.5000 0.5000 0.5000
N1 N 0.0000 0.5000 0.5000
# - Formation energy without anion corrections: 174.8 kJ/mol of atoms

4.
# CaTcHg2, relaxed, DFT PBE
data_CaTcHg2
_space_group_name_H-M_alt 'C 1 2/m 1'
_space_group_IT_number 12
_space_group_name_Hall '-C 2y'
_cell_length_a 9.8469
_cell_length_b 3.0604
_cell_length_c 5.8220
_cell_angle_alpha 90.00
_cell_angle_beta 98.96
_cell_angle_gamma 90.00
loop_
_atom_site_label
_atom_site_type_symbol
_atom_site_fract_x
_atom_site_fract_y
_atom_site_fract_z
Ca1 Ca 0.0000 0.0000 0.0000
Tc1 Tc 0.0000 0.5000 0.5000
Hg1 Hg 0.2408 0.0000 0.7191
# - Formation energy from the elements: 1.3 eV per formula unit
# - Distance to the lowest polymorph of the same formula: 95.6 meV/atom

Volume for every record listed, in sequence, given in Å³ per cell: 111 615 60 173.
Spin magnetization for every record listed, in sequence, given in μB/atom: 0.000 0.000 0.000 0.000.
E for every record listed, in sequence, given in eV/f.u.: -31.99 -64.33 -26.12 -11.67.